Computed, not measured: a relaxed Co3Ni crystal at the PBE-GGA level of DFT.

Calculated values
energy of formation from the pure elements	0.00	eV/atom
electronic total energy	-6.774	eV per atom

The structure in CIF format:
```
data_Co3Ni
_symmetry_space_group_name_H-M 'P m -3 m'
_symmetry_Int_Tables_number 221
_symmetry_space_group_name_Hall '-P 4 2 3'
_cell_length_a 3.5242
_cell_length_b 3.5242
_cell_length_c 3.5242
_cell_angle_alpha 90.00
_cell_angle_beta 90.00
_cell_angle_gamma 90.00
loop_
_atom_site_label
_atom_site_type_symbol
_atom_site_fract_x
_atom_site_fract_y
_atom_site_fract_z
_atom_site_occupancy
Co1 Co 0.0000 0.0000 0.5000 1
Ni1 Ni 0.5000 0.5000 0.5000 1
```